No. 1
{"formula": "Pr5CdCo2", "functional": "PBE-GGA", "state": "optimized geometry", "magnetic_moment_mub_per_cell": 0.000, "dos_at_fermi_per_ev_fu": 9.31, "spacegroup": "No. 140", "formation_enthalpy_0k_ev_per_atom": -0.095, "total_energy_ha_per_atom": -0.1828, "lattice_angstrom": [[-3.980, 3.980, 6.903], [3.980, -3.980, 6.903], [3.980, 3.980, -6.903]], "species": ["Pr", "Pr", "Pr", "Pr", "Pr", "Pr", "Pr", "Pr", "Pr", "Pr", "Cd", "Cd", "Co", "Co", "Co", "Co"], "fractional_positions": [[0.000, 0.000, 0.000], [0.030, 0.530, 0.822], [0.207, 0.030, 0.500], [0.293, 0.793, 0.822], [0.470, 0.293, 0.500], [0.500, 0.500, 0.000], [0.530, 0.707, 0.500], [0.707, 0.207, 0.178], [0.793, 0.970, 0.500], [0.970, 0.470, 0.178], [0.250, 0.250, 0.000], [0.750, 0.750, 0.000], [0.130, 0.370, 0.500], [0.370, 0.870, 0.239], [0.630, 0.130, 0.761], [0.870, 0.630, 0.500]]}

No. 2
{"formula": "IrOsW2", "functional": "PBE-GGA", "state": "optimized geometry", "magnetic_moment_mub_per_cell": 0.000, "dos_at_fermi_per_ev_fu": 3.41, "spacegroup": "No. 25", "formation_enthalpy_0k_ev_per_atom": -0.111, "de_polymorph_mev_per_atom": 9.5, "total_energy_ha_per_atom": -0.4267, "lattice_angstrom": [[2.797, 0.000, 0.000], [0.000, 4.505, 0.000], [0.000, 0.000, 4.833]], "species": ["Ir", "Os", "W", "W"], "fractional_positions": [[0.000, 0.000, 0.000], [0.000, 0.500, 0.644], [0.500, 0.000, 0.498], [0.500, 0.500, 0.148]]}

Question: What is the formula in the first record?
Answer: Pr5CdCo2